Compound: NpBF6
Source: the Alexandria database
Functional: PBE
Structure: optimized geometry

```
8
Lattice="3.396 1.961 2.078 -3.396 1.961 2.078 0.000 -3.922 2.078" Properties=species:S:1:pos:R:3 pbc="T T T"
Np 0.000 0.000 0.000
B 0.000 0.000 3.117
F 0.000 -1.313 2.150
F -1.137 0.657 2.150
F -1.137 -0.657 4.084
F 1.137 0.657 2.150
F 1.137 -0.657 4.084
F 0.000 1.313 4.084
```

Properties
- Total DFT energy (no corrections): -6.634 eV per atom
- Space group: R-3m, No. 166